one) # SmSc2Sn

An optimized crystal structure of SmSc2Sn (PBE-GGA, the Alexandria database).

## Properties
Space-group type = No. 225

Cell lengths 5.1771, 5.1771, 5.1775 Å; angles 60.00, 60.00, 60.00 degrees
Last column: magnetic moment on the atom in μB.
Positions (direct):
Sn  0.5000  0.5000  0.5000  -0.03
Sm  0.0000  0.0000  0.0000  0.43
Sc  0.2499  0.2499  0.2502  0.31
Sc  0.7501  0.7501  0.7498  0.31

two) # SmSc2Sn

An optimized crystal structure of SmSc2Sn (PBE-GGA, the Alexandria database).

## Properties
Space-group type = No. 123

Cell lengths 4.5928, 4.6689, 4.6689 Å; angles 90.00, 90.00, 90.00 degrees
Last column: magnetic moment on the atom in μB.
Positions (direct):
Sn  0.5000  0.5000  0.5000  -0.01
Sm  0.5000  0.0000  0.0000  0.05
Sc  0.0000  0.5000  0.0000  0.14
Sc  0.0000  0.0000  0.5000  0.14

three) # SmSc2Sn

An optimized crystal structure of SmSc2Sn (PBE-GGA, the Alexandria database).

## Properties
Space-group type = No. 123

Cell lengths 3.6868, 3.6868, 7.5879 Å; angles 90.00, 90.00, 90.00 degrees
Positions (direct):
Sn  0.5000  0.5000  0.0000
Sm  0.5000  0.5000  0.5000
Sc  0.0000  0.0000  0.2149
Sc  0.0000  0.0000  0.7851

Short version: two), three), one), most stable first.